The following is a DFT calculation (PBE) of crystalline Tb3Pr2Sm6Ho at its relaxed geometry.

**Fermi-level density of states**: 16.161 states/eV per cell
**Calculated total energy**: -4.6804 eV per atom

Cell: 6.265 6.265 11.996 Å, 94.99 94.99 119.98°
Element x y z (fractional)
Tb1 0.500 0.500 0.500
Sm1 0.752 0.752 0.253
Pr1 0.333 0.667 0.000
Ho1 0.000 0.000 0.000
Sm2 0.248 0.248 0.747
Sm3 0.584 0.916 0.747
Sm4 0.916 0.584 0.747
Tb2 0.834 0.166 0.500
Sm5 0.416 0.084 0.253
Tb3 0.166 0.834 0.500
Sm6 0.084 0.416 0.253
Pr2 0.667 0.333 0.000

=====

The following is a DFT calculation (PBE) of crystalline Tb2PrSm3Ho6 at its relaxed geometry.

**Fermi-level density of states**: 14.562 states/eV per cell
**Calculated total energy**: -4.6232 eV per atom

Cell: 6.190 6.190 11.794 Å, 95.00 95.00 119.98°
Element x y z (fractional)
Pr1 0.000 0.000 0.000
Ho1 0.916 0.582 0.750
Tb1 0.333 0.667 0.000
Ho2 0.750 0.750 0.250
Sm1 0.833 0.167 0.500
Sm2 0.167 0.833 0.500
Ho3 0.084 0.418 0.250
Ho4 0.582 0.916 0.750
Ho5 0.250 0.250 0.750
Ho6 0.418 0.084 0.250
Sm3 0.500 0.500 0.500
Tb2 0.667 0.333 0.000

=====

The following is a DFT calculation (PBE) of crystalline TbPrSmHo2 at its relaxed geometry.

**Fermi-level density of states**: 15.829 states/eV per cell
**Calculated total energy**: -4.2828 eV per atom

Cell: 7.188 8.437 7.162 Å, 126.09 90.00 90.00°
Element x y z (fractional)
Pr1 0.250 0.271 0.541
Tb1 0.750 0.278 0.555
Sm1 0.250 0.000 0.000
Tb2 0.250 0.722 0.445
Ho1 0.500 0.312 0.000
Ho2 0.000 0.312 0.000
Ho3 0.500 0.688 0.000
Ho4 0.000 0.688 0.000
Pr2 0.750 0.729 0.459
Sm2 0.750 0.000 0.000

=====

The following is a DFT calculation (PBE) of crystalline Tb5PrSm2Ho at its relaxed geometry.

**Fermi-level density of states**: 20.996 states/eV per cell
**Calculated total energy**: -4.3879 eV per atom

Cell: 8.823 8.823 9.879 Å, 116.52 116.52 90.00°
Element x y z (fractional)
Tb1 0.656 0.156 0.728
Tb2 0.928 0.428 0.272
Sm1 0.616 0.116 0.000
Tb3 0.072 0.572 0.728
Tb4 0.428 0.344 0.272
Tb5 0.500 0.500 0.000
Tb6 0.156 0.072 0.728
Tb7 0.572 0.656 0.728
Sm2 0.884 0.616 0.000
Sm3 0.384 0.884 0.000
Sm4 0.116 0.384 0.000
Ho1 0.250 0.750 0.500
Ho2 0.750 0.250 0.500
Pr1 0.750 0.750 0.500
Tb8 0.000 0.000 0.000
Tb9 0.844 0.928 0.272
Pr2 0.250 0.250 0.500
Tb10 0.344 0.844 0.272

=====

The following is a DFT calculation (PBE) of crystalline TbPr2Sm6Ho3 at its relaxed geometry.

**Fermi-level density of states**: 15.988 states/eV per cell
**Calculated total energy**: -4.6698 eV per atom

Cell: 6.258 6.258 11.960 Å, 95.00 95.00 119.99°
Element x y z (fractional)
Sm1 0.417 0.085 0.254
Sm2 0.752 0.752 0.254
Sm3 0.583 0.915 0.746
Pr1 0.667 0.333 0.000
Ho1 0.500 0.500 0.500
Tb1 0.000 0.000 0.000
Pr2 0.333 0.667 0.000
Ho2 0.166 0.834 0.500
Sm4 0.248 0.248 0.746
Sm5 0.085 0.417 0.254
Sm6 0.915 0.583 0.746
Ho3 0.834 0.166 0.500

=====

The following is a DFT calculation (PBE) of crystalline Tb3PrSm2Ho6 at its relaxed geometry.

**Fermi-level density of states**: 15.035 states/eV per cell
**Calculated total energy**: -4.6147 eV per atom

Cell: 6.181 6.181 11.777 Å, 95.00 95.00 119.97°
Element x y z (fractional)
Ho1 0.419 0.085 0.253
Pr1 0.000 0.000 0.000
Ho2 0.085 0.419 0.253
Tb1 0.500 0.500 0.500
Ho3 0.249 0.249 0.747
Tb2 0.833 0.167 0.500
Ho4 0.915 0.581 0.747
Sm1 0.667 0.333 0.000
Ho5 0.751 0.751 0.253
Ho6 0.581 0.915 0.747
Tb3 0.167 0.833 0.500
Sm2 0.333 0.667 0.000

=====

The following is a DFT calculation (PBE) of crystalline Tb6PrSmHo2 at its relaxed geometry.

**Fermi-level density of states**: 30.007 states/eV per cell
**Calculated total energy**: -4.5206 eV per atom

Cell: 9.621 8.812 8.812 Å, 117.46 93.90 93.90°
Element x y z (fractional)
Tb1 0.120 0.707 0.491
Tb2 0.181 0.569 0.023
Ho1 0.454 0.805 0.703
Tb3 0.443 0.247 0.883
Ho2 0.954 0.703 0.805
Tb4 0.819 0.431 0.977
Ho3 0.046 0.297 0.195
Tb5 0.943 0.883 0.247
Tb6 0.880 0.293 0.509
Tb7 0.057 0.117 0.753
Tb8 0.380 0.509 0.293
Tb9 0.557 0.753 0.117
Sm1 0.250 0.973 0.027
Ho4 0.546 0.195 0.297
Tb10 0.620 0.491 0.707
Tb11 0.319 0.977 0.431
Tb12 0.681 0.023 0.569
Sm2 0.750 0.027 0.973
Pr1 0.250 0.406 0.594
Pr2 0.750 0.594 0.406

=====

The following is a DFT calculation (PBE) of crystalline Tb2PrSmHo5 at its relaxed geometry.

**Fermi-level density of states**: 21.222 states/eV per cell
**Calculated total energy**: -4.3527 eV per atom

Cell: 8.854 8.854 9.753 Å, 116.99 116.99 90.00°
Element x y z (fractional)
Tb1 0.614 0.114 0.000
Ho1 0.428 0.338 0.266
Ho2 0.162 0.072 0.734
Ho3 0.928 0.428 0.266
Tb2 0.114 0.386 0.000
Ho4 0.662 0.162 0.734
Sm1 0.250 0.750 0.500
Tb3 0.886 0.614 0.000
Ho5 0.338 0.838 0.266
Ho6 0.072 0.572 0.734
Tb4 0.386 0.886 0.000
Ho7 0.838 0.928 0.266
Ho8 0.500 0.500 0.000
Pr1 0.250 0.250 0.500
Ho9 0.000 0.000 0.000
Ho10 0.572 0.662 0.734
Pr2 0.750 0.750 0.500
Sm2 0.750 0.250 0.500